This record from the Alexandria database describes Co2Ni2Pb at its PBEsol-relaxed geometry. The functional is SCAN.

Calculated values
DOS at the Fermi energy	3.68	states/eV/f.u.
total moment	5.0	μB/f.u.
ΔH_f (0 K)	0.489	eV/atom

The structure in CIF format:
```
data_Co2Ni2Pb
_cell_length_a 3.5651
_cell_length_b 3.5651
_cell_length_c 10.7520
_cell_angle_alpha 90.00
_cell_angle_beta 90.00
_cell_angle_gamma 90.00
_space_group_name_H-M_alt 'I 4/m m m'
_space_group_IT_number 139
_space_group_name_Hall '-I 4 2'
loop_
_atom_site_label
_atom_site_type_symbol
_atom_site_fract_x
_atom_site_fract_y
_atom_site_fract_z
_atom_site_occupancy
Co1 Co 0.0000 0.0000 0.1068 1
Ni1 Ni 0.0000 0.5000 0.2500 1
Pb1 Pb 0.0000 0.0000 0.5000 1
```

=====

This record from the Alexandria database describes ScCuP2 at its PBEsol-relaxed geometry. The functional is SCAN.

Calculated values
DOS at the Fermi energy	1.56	states/eV/f.u.
total moment	0.0	μB/f.u.
ΔH_f (0 K)	-0.472	eV/atom

The structure in CIF format:
```
data_ScCuP2
_cell_length_a 3.4997
_cell_length_b 3.9766
_cell_length_c 4.1189
_cell_angle_alpha 90.00
_cell_angle_beta 90.00
_cell_angle_gamma 90.00
_space_group_name_H-M_alt 'P m m m'
_space_group_IT_number 47
_space_group_name_Hall '-P 2 2'
loop_
_atom_site_label
_atom_site_type_symbol
_atom_site_fract_x
_atom_site_fract_y
_atom_site_fract_z
_atom_site_occupancy
Sc1 Sc 0.0000 0.0000 0.0000 1
Cu1 Cu 0.0000 0.5000 0.5000 1
P1 P 0.5000 0.0000 0.5000 1
P2 P 0.5000 0.5000 0.0000 1
```

=====

This record from the Alexandria database describes ZnPtAu2 at its PBEsol-relaxed geometry. The functional is SCAN.

Calculated values
DOS at the Fermi energy	0.97	states/eV/f.u.
total moment	0.0	μB/f.u.
ΔH_f (0 K)	-0.232	eV/atom

The structure in CIF format:
```
data_ZnPtAu2
_cell_length_a 2.8463
_cell_length_b 2.8463
_cell_length_c 7.6449
_cell_angle_alpha 90.00
_cell_angle_beta 90.00
_cell_angle_gamma 90.00
_space_group_name_H-M_alt 'P 4 m m'
_space_group_IT_number 99
_space_group_name_Hall 'P 4 -2'
loop_
_atom_site_label
_atom_site_type_symbol
_atom_site_fract_x
_atom_site_fract_y
_atom_site_fract_z
_atom_site_occupancy
Zn1 Zn 0.0000 0.0000 0.0000 1
Pt1 Pt 0.5000 0.5000 0.7835 1
Au1 Au 0.0000 0.0000 0.5184 1
Au2 Au 0.5000 0.5000 0.2422 1
```

=====

This record from the Alexandria database describes CrCdAs2 at its PBEsol-relaxed geometry. The functional is SCAN.

Calculated values
DOS at the Fermi energy	1.60	states/eV/f.u.
total moment	0.0	μB/f.u.
ΔH_f (0 K)	0.177	eV/atom

The structure in CIF format:
```
data_CrCdAs2
_cell_length_a 2.8352
_cell_length_b 4.7639
_cell_length_c 11.1746
_cell_angle_alpha 90.00
_cell_angle_beta 90.00
_cell_angle_gamma 90.00
_space_group_name_H-M_alt 'I m m m'
_space_group_IT_number 71
_space_group_name_Hall '-I 2 2'
loop_
_atom_site_label
_atom_site_type_symbol
_atom_site_fract_x
_atom_site_fract_y
_atom_site_fract_z
_atom_site_occupancy
Cr1 Cr 0.0000 0.0000 0.0000 1
Cd1 Cd 0.0000 0.0000 0.5000 1
As1 As 0.0000 0.5000 0.3291 1
```

=====

This record from the Alexandria database describes K2ZnPt at its PBEsol-relaxed geometry. The functional is SCAN.

Calculated values
DOS at the Fermi energy	1.39	states/eV/f.u.
total moment	0.0	μB/f.u.
ΔH_f (0 K)	-0.255	eV/atom

The structure in CIF format:
```
data_K2ZnPt
_cell_length_a 4.3004
_cell_length_b 4.3004
_cell_length_c 26.0456
_cell_angle_alpha 90.00
_cell_angle_beta 90.00
_cell_angle_gamma 120.00
_space_group_name_H-M_alt 'R 3 m'
_space_group_IT_number 160
_space_group_name_Hall 'R 3 -2"'
loop_
_atom_site_label
_atom_site_type_symbol
_atom_site_fract_x
_atom_site_fract_y
_atom_site_fract_z
_atom_site_occupancy
K1 K 0.0000 0.0000 0.0000 1
K2 K 0.0000 0.0000 0.1710 1
Zn1 Zn 0.0000 0.0000 0.4189 1
Pt1 Pt 0.0000 0.0000 0.7522 1
```

=====

This record from the Alexandria database describes MnTc2Ni at its PBEsol-relaxed geometry. The functional is SCAN.

Calculated values
DOS at the Fermi energy	3.65	states/eV/f.u.
total moment	0.5	μB/f.u.
ΔH_f (0 K)	0.053	eV/atom

The structure in CIF format:
```
data_MnTc2Ni
_cell_length_a 2.5800
_cell_length_b 3.6547
_cell_length_c 5.1592
_cell_angle_alpha 90.00
_cell_angle_beta 90.00
_cell_angle_gamma 90.00
_space_group_name_H-M_alt 'P m m m'
_space_group_IT_number 47
_space_group_name_Hall '-P 2 2'
loop_
_atom_site_label
_atom_site_type_symbol
_atom_site_fract_x
_atom_site_fract_y
_atom_site_fract_z
_atom_site_occupancy
Mn1 Mn 0.0000 0.0000 0.0000 1
Tc1 Tc 0.5000 0.5000 0.2425 1
Ni1 Ni 0.0000 0.0000 0.5000 1
```

=====

This record from the Alexandria database describes Mg2InNi at its PBEsol-relaxed geometry. The functional is SCAN.

Calculated values
DOS at the Fermi energy	1.00	states/eV/f.u.
total moment	0.0	μB/f.u.
ΔH_f (0 K)	-0.132	eV/atom

The structure in CIF format:
```
data_Mg2InNi
_cell_length_a 4.2430
_cell_length_b 4.2430
_cell_length_c 7.5322
_cell_angle_alpha 90.00
_cell_angle_beta 90.00
_cell_angle_gamma 90.00
_space_group_name_H-M_alt 'I -4 m 2'
_space_group_IT_number 119
_space_group_name_Hall 'I -4 -2'
loop_
_atom_site_label
_atom_site_type_symbol
_atom_site_fract_x
_atom_site_fract_y
_atom_site_fract_z
_atom_site_occupancy
Mg1 Mg 0.0000 0.0000 0.0000 1
Mg2 Mg 0.0000 0.5000 0.2500 1
In1 In 0.0000 0.5000 0.7500 1
Ni1 Ni 0.0000 0.0000 0.5000 1
```

=====

This record from the Alexandria database describes TlCd2 at its PBEsol-relaxed geometry. The functional is SCAN.

Calculated values
DOS at the Fermi energy	1.11	states/eV/f.u.
total moment	0.0	μB/f.u.
ΔH_f (0 K)	0.066	eV/atom

The structure in CIF format:
```
data_TlCd2
_cell_length_a 3.1004
_cell_length_b 3.6301
_cell_length_c 12.6486
_cell_angle_alpha 90.00
_cell_angle_beta 90.00
_cell_angle_gamma 90.00
_space_group_name_H-M_alt 'I m m m'
_space_group_IT_number 71
_space_group_name_Hall '-I 2 2'
loop_
_atom_site_label
_atom_site_type_symbol
_atom_site_fract_x
_atom_site_fract_y
_atom_site_fract_z
_atom_site_occupancy
Tl1 Tl 0.0000 0.0000 0.0000 1
Cd1 Cd 0.0000 0.0000 0.3237 1
```

=====

This record from the Alexandria database describes Be2CrHg at its PBEsol-relaxed geometry. The functional is SCAN.

Calculated values
DOS at the Fermi energy	1.68	states/eV/f.u.
total moment	3.2	μB/f.u.
ΔH_f (0 K)	0.483	eV/atom

The structure in CIF format:
```
data_Be2CrHg
_cell_length_a 2.7651
_cell_length_b 4.5175
_cell_length_c 8.1213
_cell_angle_alpha 90.00
_cell_angle_beta 90.00
_cell_angle_gamma 90.00
_space_group_name_H-M_alt 'I m m m'
_space_group_IT_number 71
_space_group_name_Hall '-I 2 2'
loop_
_atom_site_label
_atom_site_type_symbol
_atom_site_fract_x
_atom_site_fract_y
_atom_site_fract_z
_atom_site_occupancy
Be1 Be 0.0000 0.0000 0.2405 1
Cr1 Cr 0.0000 0.5000 0.5000 1
Hg1 Hg 0.0000 0.5000 0.0000 1
```

=====

This record from the Alexandria database describes Nd4Bi3 at its PBEsol-relaxed geometry. The functional is SCAN.

Calculated values
DOS at the Fermi energy	6.73	states/eV/f.u.
total moment	0.0	μB/f.u.
ΔH_f (0 K)	-0.989	eV/atom

The structure in CIF format:
```
data_Nd4Bi3
_cell_length_a 9.5419
_cell_length_b 9.5419
_cell_length_c 9.5419
_cell_angle_alpha 90.00
_cell_angle_beta 90.00
_cell_angle_gamma 90.00
_space_group_name_H-M_alt 'I -4 3 d'
_space_group_IT_number 220
_space_group_name_Hall 'I -4bd 2c 3'
loop_
_atom_site_label
_atom_site_type_symbol
_atom_site_fract_x
_atom_site_fract_y
_atom_site_fract_z
_atom_site_occupancy
Nd1 Nd 0.0718 0.0718 0.0718 1
Bi1 Bi 0.0000 0.2500 0.3750 1
```

=====

This record from the Alexandria database describes MgPt2Se at its PBEsol-relaxed geometry. The functional is SCAN.

Calculated values
DOS at the Fermi energy	2.12	states/eV/f.u.
total moment	0.0	μB/f.u.
uncorrected formation energy	-341	meV per atom

The structure in CIF format:
```
data_MgPt2Se
_cell_length_a 9.0167
_cell_length_b 3.0376
_cell_length_c 4.7821
_cell_angle_alpha 90.00
_cell_angle_beta 102.79
_cell_angle_gamma 90.00
_space_group_name_H-M_alt 'C 1 2/m 1'
_space_group_IT_number 12
_space_group_name_Hall '-C 2y'
loop_
_atom_site_label
_atom_site_type_symbol
_atom_site_fract_x
_atom_site_fract_y
_atom_site_fract_z
_atom_site_occupancy
Mg1 Mg 0.0000 0.0000 0.0000 1
Pt1 Pt 0.2472 0.0000 0.7532 1
Se1 Se 0.0000 0.5000 0.5000 1
```

=====

This record from the Alexandria database describes CsZrP2S at its PBEsol-relaxed geometry. The functional is SCAN.

Calculated values
DOS at the Fermi energy	3.07	states/eV/f.u.
total moment	1.9	μB/f.u.
uncorrected formation energy	-549	meV per atom

The structure in CIF format:
```
data_CsZrP2S
_cell_length_a 5.0963
_cell_length_b 5.0963
_cell_length_c 5.0562
_cell_angle_alpha 90.00
_cell_angle_beta 90.00
_cell_angle_gamma 90.00
_space_group_name_H-M_alt 'P 4/m m m'
_space_group_IT_number 123
_space_group_name_Hall '-P 4 2'
loop_
_atom_site_label
_atom_site_type_symbol
_atom_site_fract_x
_atom_site_fract_y
_atom_site_fract_z
_atom_site_occupancy
Cs1 Cs 0.0000 0.0000 0.0000 1
Zr1 Zr 0.5000 0.5000 0.5000 1
P1 P 0.0000 0.5000 0.5000 1
S1 S 0.5000 0.5000 0.0000 1
```